Entry 1:
Below is a geometry-optimized Ho3Pa structure, with properties calculated at the PBE level.

Properties
**Calculated total energy**: -5.62 eV/atom
**SG**: No. 25
**Formation energy from the elements**: 192.0 meV/atom

Lattice parameters (Å, degrees): 3.413 5.644 6.080 90.00 90.00 90.00
Fractional positions:
Ho  0.000  0.000  0.000
Ho  0.000  0.500  0.321
Ho  0.500  0.500  0.806
Pa  0.500  0.000  0.487

=====

Entry 2:
Below is a geometry-optimized Na2SnPb6 structure, with properties calculated at the PBE level.

Properties
**Calculated total energy**: -3.21 eV/atom
**SG**: No. 12
**Formation energy from the elements**: -3.5 meV/atom

Lattice parameters (Å, degrees): 6.101 6.101 8.236 101.92 101.92 71.02
Fractional positions:
Na  0.235  0.235  0.466
Na  0.765  0.765  0.534
Sn  0.000  0.000  0.000
Pb  0.219  0.693  0.293
Pb  0.307  0.781  0.707
Pb  0.321  0.321  0.915
Pb  0.679  0.679  0.085
Pb  0.693  0.219  0.293
Pb  0.781  0.307  0.707

=====

Entry 3:
Below is a geometry-optimized PrNdSmDy2 structure, with properties calculated at the PBE level.

Properties
**Calculated total energy**: -4.33 eV/atom
**SG**: No. 63
**Formation energy from the elements**: 359.7 meV/atom

Lattice parameters (Å, degrees): 7.227 7.227 7.187 90.00 90.00 108.08
Fractional positions:
Pr  0.230  0.770  0.750
Pr  0.770  0.230  0.250
Nd  0.499  0.501  0.250
Nd  0.501  0.499  0.750
Sm  0.225  0.775  0.250
Sm  0.775  0.225  0.750
Dy  0.187  0.187  0.000
Dy  0.187  0.187  0.500
Dy  0.813  0.813  0.000
Dy  0.813  0.813  0.500

=====

Entry 4:
Below is a geometry-optimized Dy3Er2Al2 structure, with properties calculated at the PBE level.

Properties
**Calculated total energy**: -4.55 eV/atom
**SG**: No. 166
**Formation energy from the elements**: -201.4 meV/atom

Lattice parameters (Å, degrees): 8.338 8.338 8.338 36.67 36.67 36.67
Fractional positions:
Dy  0.000  0.000  0.000
Dy  0.153  0.153  0.153
Dy  0.847  0.847  0.847
Er  0.418  0.418  0.418
Er  0.582  0.582  0.582
Al  0.283  0.283  0.283
Al  0.717  0.717  0.717

=====

Entry 5:
Below is a geometry-optimized KSnS3 structure, with properties calculated at the PBE level.

Properties
**Calculated total energy**: -3.79 eV/atom
**SG**: No. 221
**Uncorrected formation energy**: -0.30 eV/atom

Lattice parameters (Å, degrees): 5.097 5.097 5.097 90.00 90.00 90.00
Fractional positions:
K  0.000  0.000  0.000
Sn  0.500  0.500  0.500
S  0.000  0.500  0.500
S  0.500  0.000  0.500
S  0.500  0.500  0.000

=====

Entry 6:
Below is a geometry-optimized Sm2AuI8 structure, with properties calculated at the PBE level.

Properties
**Calculated total energy**: -3.17 eV/atom
**SG**: No. 12
**Uncorrected formation energy**: -0.89 eV/atom

Lattice parameters (Å, degrees): 9.021 9.021 10.905 105.12 105.12 48.94
Fractional positions:
Sm  0.231  0.231  0.317
Sm  0.769  0.769  0.683
Au  0.000  0.000  0.000
I  0.142  0.628  0.873
I  0.210  0.210  0.581
I  0.372  0.858  0.127
I  0.400  0.400  0.288
I  0.600  0.600  0.712
I  0.628  0.142  0.873
I  0.790  0.790  0.419
I  0.858  0.372  0.127

=====

Entry 7:
Below is a geometry-optimized BaYSc structure, with properties calculated at the PBE level.

Properties
**Calculated total energy**: -4.08 eV/atom
**SG**: No. 216
**Formation energy from the elements**: 827.8 meV/atom

Lattice parameters (Å, degrees): 5.660 5.660 5.660 60.00 60.00 60.00
Fractional positions:
Ba  0.000  0.000  0.000
Y  0.500  0.500  0.500
Sc  0.250  0.250  0.250

=====

Entry 8:
Below is a geometry-optimized CaScVRh2 structure, with properties calculated at the PBE level.

Properties
**Calculated total energy**: -6.06 eV/atom
**SG**: No. 123
**Formation energy from the elements**: 373.5 meV/atom

Lattice parameters (Å, degrees): 4.585 4.585 4.813 90.00 90.00 90.00
Fractional positions:
Ca  0.000  0.000  0.000
Sc  0.500  0.500  0.000
V  0.000  0.000  0.500
Rh  0.000  0.500  0.500
Rh  0.500  0.000  0.500

=====

Entry 9:
Below is a geometry-optimized Tb3ScZn2 structure, with properties calculated at the PBE level.

Properties
**Calculated total energy**: -3.95 eV/atom
**SG**: No. 72
**Formation energy from the elements**: -158.8 meV/atom

Lattice parameters (Å, degrees): 8.547 8.547 8.547 134.86 65.51 135.16
Fractional positions:
Tb  0.184  0.738  0.922
Tb  0.250  0.250  0.000
Tb  0.316  0.238  0.554
Tb  0.684  0.762  0.446
Tb  0.750  0.750  0.000
Tb  0.816  0.262  0.078
Sc  0.250  0.750  0.500
Sc  0.750  0.250  0.500
Zn  0.120  0.263  0.383
Zn  0.380  0.763  0.143
Zn  0.620  0.237  0.857
Zn  0.880  0.737  0.617

=====

Entry 10:
Below is a geometry-optimized Ba2GaPb structure, with properties calculated at the PBE level.

Properties
**Calculated total energy**: -2.72 eV/atom
**SG**: No. 122
**Formation energy from the elements**: -79.5 meV/atom

Lattice parameters (Å, degrees): 7.585 7.585 7.585 103.71 103.71 121.73
Fractional positions:
Ba  0.106  0.625  0.981
Ba  0.375  0.356  0.481
Ba  0.644  0.125  0.019
Ba  0.875  0.894  0.519
Ga  0.000  0.000  0.000
Ga  0.750  0.250  0.500
Pb  0.250  0.750  0.500
Pb  0.500  0.500  0.000

=====

Entry 11:
Below is a geometry-optimized AcSi2Ge structure, with properties calculated at the PBE level.

Properties
**Calculated total energy**: -5.10 eV/atom
**SG**: No. 166
**Uncorrected formation energy**: -0.20 eV/atom

Lattice parameters (Å, degrees): 5.873 5.873 5.873 44.97 44.97 44.97
Fractional positions:
Ac  0.000  0.000  0.000
Si  0.204  0.204  0.204
Si  0.796  0.796  0.796
Ge  0.500  0.500  0.500

=====

Entry 12:
Below is a geometry-optimized Er4Al2ZnIn structure, with properties calculated at the PBE level.

Properties
**Calculated total energy**: -4.11 eV/atom
**SG**: No. 166
**Formation energy from the elements**: -389.1 meV/atom

Lattice parameters (Å, degrees): 8.820 8.820 8.820 33.60 33.60 33.60
Fractional positions:
Er  0.121  0.121  0.121
Er  0.371  0.371  0.371
Er  0.629  0.629  0.629
Er  0.879  0.879  0.879
Al  0.250  0.250  0.250
Al  0.750  0.750  0.750
Zn  0.000  0.000  0.000
In  0.500  0.500  0.500

=====

- Number 10 is which compound?
  Ba2GaPb

=====

- Number 10 is which compound?
  Ba2GaPb

=====

- Which formula does entry 3 have?
  PrNdSmDy2

=====

- Among the records above, which one has the highest calculated total energy?
  Ba2GaPb